[1]
First-principles (GGA-PBE) data for a relaxed structure of Y2ScRe, as listed in the Alexandria database.

POSCAR file:
```
Y2ScRe
1.0
3.1129 -4.7430 0.0000
3.1129 4.7430 0.0000
-0.6645 0.0000 3.0983
Y Sc Re
2 1 1
Cartesian
1.5565 2.3715 0.0000 Y
1.5565 -2.3715 0.0000 Y
-0.3322 0.0000 1.5491 Sc
2.7807 0.0000 1.5491 Re
```

Summary:
The value obtained for the magnetic moment is 0.0 μB/f.u. The energy relative to the lowest polymorph listed for this composition comes out at 288 meV per atom. The space-group type is C2/m. The calculation puts the energy of formation from the pure elements at 0.393 eV per atom.


[2]
First-principles (GGA-PBE) data for a relaxed structure of LiTe2Br, as listed in the Alexandria database.

POSCAR file:
```
LiTe2Br
1.0
1.6348 0.9439 12.7875
-1.6348 0.9439 12.7875
0.0000 -1.8877 12.7875
Li Te Br
1 2 1
Cartesian
0.0000 0.0000 0.0000 Li
0.0000 0.0000 2.6251 Te
0.0000 0.0000 35.7373 Te
0.0000 0.0000 19.1812 Br
```

Summary:
The value obtained for the magnetic moment is 0.0 μB/f.u. The energy relative to the lowest polymorph listed for this composition comes out at 623 meV per atom. The space-group type is R-3m. Its formation energy (no corrections) is 0.00 eV per atom.


[3]
First-principles (GGA-PBE) data for a relaxed structure of CaHfSCl2, as listed in the Alexandria database.

POSCAR file:
```
CaHfSCl2
1.0
4.9414 0.0000 0.0000
0.0000 4.9414 0.0000
0.0000 0.0000 5.0034
Ca Hf S Cl
1 1 1 2
Cartesian
0.0000 0.0000 0.0000 Ca
2.4707 2.4707 2.5017 Hf
2.4707 2.4707 0.0000 S
0.0000 2.4707 2.5017 Cl
2.4707 0.0000 2.5017 Cl
```

Summary:
The value obtained for the magnetic moment is 0.0 μB/f.u. The energy relative to the lowest polymorph listed for this composition comes out at 0 meV per atom. The space-group type is P4/mmm. Its formation energy (no corrections) is -1.21 eV per atom.


[4]
First-principles (GGA-PBE) data for a relaxed structure of RbCa2Ga, as listed in the Alexandria database.

POSCAR file:
```
RbCa2Ga
1.0
3.8255 0.0000 0.0000
0.0000 3.8255 0.0000
0.0000 0.0000 11.0564
Rb Ca Ga
1 2 1
Cartesian
0.0000 0.0000 0.0000 Rb
1.9128 1.9128 3.8094 Ca
1.9128 1.9128 7.2471 Ca
0.0000 0.0000 5.5282 Ga
```

Summary:
The value obtained for the magnetic moment is 0.0 μB/f.u. The space-group type is P4/mmm. The calculation puts the energy of formation from the pure elements at -0.112 eV per atom.


[5]
First-principles (GGA-PBE) data for a relaxed structure of Hf4AlIn, as listed in the Alexandria database.

POSCAR file:
```
Hf4AlIn
1.0
5.2681 -1.6127 0.0000
5.2681 1.6127 0.0000
-3.0499 0.0000 7.4262
Hf Al In
4 1 1
Cartesian
0.6697 0.0000 2.5136 Hf
-0.7739 0.0000 6.1216 Hf
8.2603 0.0000 1.3047 Hf
6.8167 0.0000 4.9126 Hf
3.7432 0.0000 3.7131 Al
5.2681 0.0000 0.0000 In
```

Summary:
The value obtained for the magnetic moment is 0.0 μB/f.u. The energy relative to the lowest polymorph listed for this composition comes out at 0 meV per atom. The space-group type is C2/m. The calculation puts the energy of formation from the pure elements at -0.195 eV per atom.


[6]
First-principles (GGA-PBE) data for a relaxed structure of CsKAsH, as listed in the Alexandria database.

POSCAR file:
```
CsKAsH
1.0
4.9253 -2.8527 0.0000
4.9253 2.8527 0.0000
-0.0226 0.0000 4.9309
Cs K As H
1 1 1 1
Cartesian
0.0000 0.0000 0.0000 Cs
6.5482 0.0000 2.3764 K
3.2611 0.0000 2.9390 As
3.2721 0.0000 1.3663 H
```

Summary:
The value obtained for the magnetic moment is 0.0 μB/f.u. The space-group type is Cm. The raw total energy is -2.8046 eV per atom.